Entry 1:
Density functional theory data (PBE-GGA) for an optimized crystal structure of Rb3CaTb2Se6.

Summary:
ΔE_f (raw): -1592 meV per atom
N(E_F): 0.8114 states/eV per atom
Calculated volume: 382.5 Å³/f.u.
Symmetry: C2/m (12)
Total magnetic moment: 0.00 μB/cell
Final energy: -54.2 eV for the cell shown

Cell lengths 7.4153, 7.4153, 8.4043 Å; angles 98.46, 98.46, 120.00 degrees
Positions (direct):
1 Se 0.5911 0.9340 0.8022
2 Se 0.0660 0.4089 0.1978
3 Se 0.2771 0.2771 0.8031
4 Se 0.7229 0.7229 0.1969
5 Se 0.9340 0.5911 0.8022
6 Se 0.4089 0.0660 0.1978
7 Ca 0.0000 0.0000 0.0000
8 Rb 0.8358 0.1642 0.5000
9 Rb 0.5000 0.5000 0.5000
10 Rb 0.1642 0.8358 0.5000
11 Tb 0.3331 0.6669 0.0000
12 Tb 0.6669 0.3331 0.0000

---

Entry 2:
Density functional theory data (PBE-GGA) for an optimized crystal structure of SrHg3Ru.

Summary:
N(E_F): 0.9501 states/eV per atom
Calculated volume: 219.0 Å³/f.u.
Symmetry: Pm-3m (221)
Energy relative to the elements: 1.255 eV per atom
Total magnetic moment: 2.53 μB/cell
E above lowest polymorph: 1225 meV per atom
Final energy: -5.6 eV for the cell shown

Cell lengths 6.0273, 6.0273, 6.0273 Å; angles 90.00, 90.00, 90.00 degrees
Positions (direct):
1 Hg 0.0000 0.0000 0.5000
2 Hg 0.5000 0.0000 0.0000
3 Hg 0.0000 0.5000 0.0000
4 Sr 0.0000 0.0000 0.0000
5 Ru 0.5000 0.5000 0.5000

---

Entry 3:
Density functional theory data (PBE-GGA) for an optimized crystal structure of KRbCu2I4.

Summary:
ΔE_f (raw): -773 meV per atom
N(E_F): 0.0000 states/eV per atom
Calculated volume: 341.2 Å³/f.u.
Symmetry: I222 (23)
Total magnetic moment: 0.00 μB/cell
Final energy: -22.6 eV for the cell shown

Cell lengths 8.4450, 7.6334, 7.6334 Å; angles 70.42, 56.42, 56.42 degrees
Positions (direct):
1 Rb 0.0000 0.0000 0.0000
2 I 0.9913 0.4931 0.1147
3 I 0.5992 0.5069 0.8853
4 I 0.4009 0.1147 0.4931
5 I 0.0087 0.8853 0.5069
6 Cu 0.1421 0.3579 0.3579
7 Cu 0.8579 0.6421 0.6421
8 K 0.5000 0.5000 0.5000

---

Entry 4:
Density functional theory data (PBE-GGA) for an optimized crystal structure of NpTi2Ru.

Summary:
N(E_F): 2.5129 states/eV per atom
Calculated volume: 66.1 Å³/f.u.
Symmetry: Fm-3m (225)
Energy relative to the elements: 0.081 eV per atom
Total magnetic moment: 2.52 μB/cell
E above lowest polymorph: 262 meV per atom
Final energy: -37.7 eV for the cell shown

Cell lengths 4.5377, 4.5377, 4.5377 Å; angles 60.00, 60.00, 60.00 degrees
Positions (direct):
1 Np 0.0000 0.0000 0.0000
2 Ru 0.5000 0.5000 0.5000
3 Ti 0.2500 0.2500 0.2500
4 Ti 0.7500 0.7500 0.7500

---

Among the records above, which one has the lowest calculated volume? NpTi2Ru

---

What is the calculated volume in the third record? 341.2 Å³/f.u.